[1]
Compound: SrU2S5
Source: OQMD via LeMat-Bulk
Functional: PBE
Structure: optimized geometry

```
SrU2S5
1.0
8.231 0.000 0.000
0.000 7.407 0.000
-0.067 0.000 11.629
S U Sr
20 8 4
direct
0.960 0.675 0.921 S
0.040 0.325 0.079 S
0.723 0.835 0.688 S
0.277 0.335 0.812 S
0.284 0.546 0.499 S
0.545 0.837 0.402 S
0.266 0.692 0.216 S
0.734 0.308 0.784 S
0.266 0.808 0.716 S
0.716 0.454 0.501 S
0.723 0.665 0.188 S
0.284 0.954 0.999 S
0.040 0.175 0.579 S
0.545 0.663 0.902 S
0.277 0.165 0.312 S
0.734 0.192 0.284 S
0.455 0.163 0.598 S
0.716 0.046 0.001 S
0.960 0.825 0.421 S
0.455 0.337 0.098 S
0.254 0.571 0.991 U
0.500 0.520 0.681 U
0.746 0.429 0.009 U
0.500 0.020 0.819 U
0.254 0.929 0.491 U
0.500 0.980 0.181 U
0.500 0.480 0.319 U
0.746 0.071 0.509 U
0.992 0.953 0.170 Sr
0.992 0.547 0.670 Sr
0.008 0.453 0.330 Sr
0.008 0.047 0.830 Sr
```

Computed properties:
calculated volume	22.16	A^3/atom
DFT total energy	-7.216	eV/atom

=====

[2]
Compound: ZnCuWAu
Source: OQMD via LeMat-Bulk
Functional: PBE
Structure: optimized geometry

```
ZnCuWAu
1.0
0.000 3.127 3.127
3.127 0.000 3.127
3.127 3.127 0.000
W Au Zn Cu
1 1 1 1
direct
0.500 0.500 0.500 W
0.250 0.250 0.250 Au
0.000 0.000 0.000 Zn
0.750 0.750 0.750 Cu
```

Computed properties:
calculated volume	15.29	A^3/atom
ΔE_f	0.50	eV/atom

=====

[3]
Compound: Os9S8
Source: OQMD via LeMat-Bulk
Functional: PBE
Structure: optimized geometry

```
Os9S8
1.0
0.000 5.231 5.231
5.231 0.000 5.231
5.231 5.231 0.000
S Os
8 9
direct
0.774 0.226 0.774 S
0.250 0.250 0.250 S
0.750 0.750 0.750 S
0.226 0.774 0.774 S
0.774 0.774 0.226 S
0.226 0.774 0.226 S
0.774 0.226 0.226 S
0.226 0.226 0.774 S
0.876 0.375 0.375 Os
0.000 0.000 0.000 Os
0.124 0.625 0.625 Os
0.375 0.375 0.375 Os
0.625 0.124 0.625 Os
0.625 0.625 0.625 Os
0.375 0.375 0.876 Os
0.375 0.876 0.375 Os
0.625 0.625 0.124 Os
```

Computed properties:
calculated volume	16.84	A^3/atom
DFT total energy	-7.532	eV/atom

=====

[4]
Compound: Gd6Cd23Pb
Source: OQMD via LeMat-Bulk
Functional: PBE
Structure: optimized geometry

```
Gd6Cd23Pb
1.0
9.166 -1.348 3.622
6.405 7.605 0.281
2.544 4.041 8.726
Cd Pb Gd
23 1 6
direct
0.000 0.500 0.000 Cd
0.121 0.626 0.626 Cd
0.848 0.455 0.848 Cd
0.545 0.152 0.152 Cd
0.374 0.374 0.879 Cd
0.500 0.500 0.000 Cd
0.848 0.848 0.848 Cd
0.848 0.848 0.455 Cd
0.500 0.500 0.500 Cd
0.626 0.626 0.121 Cd
0.455 0.848 0.848 Cd
0.000 0.000 0.500 Cd
0.152 0.152 0.545 Cd
0.626 0.121 0.626 Cd
0.374 0.879 0.374 Cd
0.879 0.374 0.374 Cd
0.152 0.545 0.152 Cd
0.626 0.626 0.626 Cd
0.500 0.000 0.000 Cd
0.000 0.500 0.500 Cd
0.374 0.374 0.374 Cd
0.500 0.000 0.500 Cd
0.152 0.152 0.152 Cd
0.000 0.000 0.000 Pb
0.772 0.772 0.228 Gd
0.228 0.228 0.772 Gd
0.228 0.772 0.228 Gd
0.772 0.228 0.772 Gd
0.228 0.772 0.772 Gd
0.772 0.228 0.228 Gd
```

Computed properties:
calculated volume	23.20	A^3/atom
DFT total energy	-2.020	eV/atom

=====

[5]
Compound: YErAg2Se4
Source: OQMD via LeMat-Bulk
Functional: PBE
Structure: optimized geometry

```
YErAg2Se4
1.0
0.726 6.684 0.578
-3.291 -0.160 5.889
3.726 -0.583 2.066
Se Er Ag Y
4 1 2 1
direct
0.200 0.800 0.716 Se
0.800 0.200 0.716 Se
0.703 0.703 0.284 Se
0.297 0.297 0.284 Se
0.000 0.000 0.204 Er
0.500 0.000 0.000 Ag
0.000 0.500 0.000 Ag
0.500 0.500 0.795 Y
```

Computed properties:
calculated volume	24.48	A^3/atom
DFT total energy	-5.051	eV/atom

=====

[6]
Compound: NbF
Source: OQMD via LeMat-Bulk
Functional: PBE
Structure: optimized geometry

```
NbF
1.0
3.766 0.000 0.000
-1.883 3.262 0.000
0.000 0.000 4.863
F Nb
2 2
direct
0.667 0.333 0.250 F
0.333 0.667 0.750 F
0.000 0.000 0.000 Nb
0.000 0.000 0.500 Nb
```

Computed properties:
calculated volume	14.94	A^3/atom
DFT total energy	-6.223	eV/atom

=====

Among the records above, which one has the highest calculated volume? YErAg2Se4

=====

What is the calculated volume in the second record? 15.29 A^3/atom

=====

calculated volume of number 5 (YErAg2Se4)? 24.48 A^3/atom

=====

Among the records above, which one has the lowest calculated volume? NbF